[1]
DFT (SCAN) results for Hg3TeO6 at its PBEsol-relaxed geometry.

Cell lengths 11.7225, 11.7225, 11.7225 Å; angles 109.47, 109.47, 109.47 degrees
Last column: nearest neighbours and their distance in Å.
Element x y z (fractional)
Hg  0.0916  0.1832  0.8416  2 O 2.08
Hg  0.0916  0.4084  0.2500  2 O 2.08
Hg  0.1584  0.7500  0.3416  2 O 2.08
Hg  0.1584  0.9084  0.8168  2 O 2.08
Hg  0.1832  0.8416  0.0916  2 O 2.08
Hg  0.2500  0.0916  0.4084  2 O 2.08
Hg  0.2500  0.6584  0.8416  2 O 2.08
Hg  0.3168  0.4084  0.6584  2 O 2.08
Hg  0.3416  0.1584  0.7500  2 O 2.08
Hg  0.3416  0.6832  0.5916  2 O 2.08
Hg  0.4084  0.2500  0.0916  2 O 2.08
Hg  0.4084  0.6584  0.3168  2 O 2.08
Hg  0.5916  0.3416  0.6832  2 O 2.08
Hg  0.5916  0.7500  0.9084  2 O 2.08
Hg  0.6584  0.3168  0.4084  2 O 2.08
Hg  0.6584  0.8416  0.2500  2 O 2.08
Hg  0.6832  0.5916  0.3416  2 O 2.08
Hg  0.7500  0.3416  0.1584  2 O 2.08
Hg  0.7500  0.9084  0.5916  2 O 2.08
Hg  0.8168  0.1584  0.9084  2 O 2.08
Hg  0.8416  0.0916  0.1832  2 O 2.08
Hg  0.8416  0.2500  0.6584  2 O 2.08
Hg  0.9084  0.5916  0.7500  2 O 2.08
Hg  0.9084  0.8168  0.1584  2 O 2.08
Te  0.0000  0.0000  0.0000  6 O 1.96
Te  0.0000  0.0000  0.5000  6 O 1.96
Te  0.0000  0.5000  0.0000  6 O 1.96
Te  0.0000  0.5000  0.5000  6 O 1.96
Te  0.5000  0.0000  0.0000  6 O 1.96
Te  0.5000  0.0000  0.5000  6 O 1.96
Te  0.5000  0.5000  0.0000  6 O 1.96
Te  0.5000  0.5000  0.5000  6 O 1.96
O  0.0060  0.1521  0.1435  1 Te 1.96, 1 Hg 2.08
O  0.0060  0.3539  0.8625  1 Te 1.96, 1 Hg 2.08
O  0.0086  0.6521  0.6461  1 Te 1.96, 1 Hg 2.08
O  0.0086  0.8565  0.3625  1 Te 1.96, 1 Hg 2.08
O  0.1375  0.6435  0.4914  1 Te 1.96, 1 Hg 2.08
O  0.1375  0.9940  0.6461  1 Te 1.96, 1 Hg 2.08
O  0.1435  0.0060  0.1521  1 Te 1.96, 1 Hg 2.08
O  0.1435  0.6375  0.9914  1 Te 1.96, 1 Hg 2.08
O  0.1461  0.1521  0.5086  1 Te 1.96, 1 Hg 2.08
O  0.1461  0.4940  0.6375  1 Te 1.96, 1 Hg 2.08
O  0.1521  0.1435  0.0060  1 Te 1.96, 1 Hg 2.08
O  0.1521  0.5086  0.1461  1 Te 1.96, 1 Hg 2.08
O  0.3479  0.3539  0.9914  1 Te 1.96, 1 Hg 2.08
O  0.3479  0.4940  0.3565  1 Te 1.96, 1 Hg 2.08
O  0.3539  0.8625  0.0060  1 Te 1.96, 1 Hg 2.08
O  0.3539  0.9914  0.3479  1 Te 1.96, 1 Hg 2.08
O  0.3565  0.3479  0.4940  1 Te 1.96, 1 Hg 2.08
O  0.3565  0.5086  0.8625  1 Te 1.96, 1 Hg 2.08
O  0.3625  0.0086  0.8565  1 Te 1.96, 1 Hg 2.08
O  0.3625  0.8539  0.5060  1 Te 1.96, 1 Hg 2.08
O  0.4914  0.1375  0.6435  1 Te 1.96, 1 Hg 2.08
O  0.4914  0.8539  0.8479  1 Te 1.96, 1 Hg 2.08
O  0.4940  0.3565  0.3479  1 Te 1.96, 1 Hg 2.08
O  0.4940  0.6375  0.1461  1 Te 1.96, 1 Hg 2.08
O  0.5060  0.3625  0.8539  1 Te 1.96, 1 Hg 2.08
O  0.5060  0.6435  0.6521  1 Te 1.96, 1 Hg 2.08
O  0.5086  0.1461  0.1521  1 Te 1.96, 1 Hg 2.08
O  0.5086  0.8625  0.3565  1 Te 1.96, 1 Hg 2.08
O  0.6375  0.1461  0.4940  1 Te 1.96, 1 Hg 2.08
O  0.6375  0.9914  0.1435  1 Te 1.96, 1 Hg 2.08
O  0.6435  0.4914  0.1375  1 Te 1.96, 1 Hg 2.08
O  0.6435  0.6521  0.5060  1 Te 1.96, 1 Hg 2.08
O  0.6461  0.0086  0.6521  1 Te 1.96, 1 Hg 2.08
O  0.6461  0.1375  0.9940  1 Te 1.96, 1 Hg 2.08
O  0.6521  0.5060  0.6435  1 Te 1.96, 1 Hg 2.08
O  0.6521  0.6461  0.0086  1 Te 1.96, 1 Hg 2.08
O  0.8479  0.4914  0.8539  1 Te 1.96, 1 Hg 2.08
O  0.8479  0.8565  0.9940  1 Te 1.96, 1 Hg 2.08
O  0.8539  0.5060  0.3625  1 Te 1.96, 1 Hg 2.08
O  0.8539  0.8479  0.4914  1 Te 1.96, 1 Hg 2.08
O  0.8565  0.3625  0.0086  1 Te 1.96, 1 Hg 2.08
O  0.8565  0.9940  0.8479  1 Te 1.96, 1 Hg 2.08
O  0.8625  0.0060  0.3539  1 Te 1.96, 1 Hg 2.08
O  0.8625  0.3565  0.5086  1 Te 1.96, 1 Hg 2.08
O  0.9914  0.1435  0.6375  1 Te 1.96, 1 Hg 2.08
O  0.9914  0.3479  0.3539  1 Te 1.96, 1 Hg 2.08
O  0.9940  0.6461  0.1375  1 Te 1.96, 1 Hg 2.08
O  0.9940  0.8479  0.8565  1 Te 1.96, 1 Hg 2.08

Symmetry ... Ia-3d, No. 230
Formation energy from raw total energies ... -596 meV per atom
Energy relative to the lowest polymorph listed for this composition ... 63 meV per atom
Crystal system ... cubic
Total magnetic moment ... 0.00 μB per cell

---

[2]
DFT (SCAN) results for HgTe2O at its PBEsol-relaxed geometry.

Cell lengths 4.6677, 4.6677, 4.6677 Å; angles 71.76, 71.76, 71.76 degrees
Last column: nearest neighbours and their distance in Å.
Element x y z (fractional)
Hg  0.0000  0.0000  0.0000  8 Te 3.13-3.17
Te  0.3036  0.3036  0.3036  1 O 2.02
Te  0.6964  0.6964  0.6964  1 O 2.02
O  0.5000  0.5000  0.5000  2 Te 2.02

Symmetry ... R-3m, No. 166
Formation energy from raw total energies ... 46 meV per atom
Crystal system ... trigonal
Total magnetic moment ... 0.00 μB per cell

---

[3]
DFT (SCAN) results for HgTeWO2 at its PBEsol-relaxed geometry.

Cell lengths 4.0304, 4.0304, 5.6543 Å; angles 90.00, 90.00, 90.00 degrees
Last column: nearest neighbours and their distance in Å.
Element x y z (fractional)
Hg  0.0000  0.0000  0.0000  4 O 2.02
Te  0.5000  0.5000  0.5000  4 W 2.85
W  0.0000  0.0000  0.5000  2 Hg 2.83, 4 Te 2.85
O  0.0000  0.5000  0.0000  2 Hg 2.02
O  0.5000  0.0000  0.0000  2 Hg 2.02

Symmetry ... P4/mmm, No. 123
Formation energy from raw total energies ... 1095 meV per atom
Crystal system ... tetragonal
Total magnetic moment ... 2.78 μB per cell

---

[4]
DFT (SCAN) results for TiHgO2 at its PBEsol-relaxed geometry.

Cell lengths 7.9497, 7.9497, 7.9497 Å; angles 21.48, 21.48, 21.48 degrees
Last column: nearest neighbours and their distance in Å.
Element x y z (fractional)
Ti  0.0000  0.0000  0.0000  6 O 1.98
Hg  0.5000  0.5000  0.5000  2 O 2.89, 6 Hg 2.96
O  0.3760  0.3760  0.3760  3 Ti 1.98
O  0.6240  0.6240  0.6240  3 Ti 1.98

Symmetry ... R-3m, No. 166
Formation energy from raw total energies ... -2338 meV per atom
Crystal system ... trigonal
Total magnetic moment ... 0.17 μB per cell

---

[5]
DFT (SCAN) results for TiHgO2 at its PBEsol-relaxed geometry.

Cell lengths 5.9259, 5.9259, 5.9259 Å; angles 60.00, 60.00, 60.00 degrees
Last column: nearest neighbours and their distance in Å.
Element x y z (fractional)
Ti  0.1250  0.1250  0.1250  4 O 1.81
Ti  0.8750  0.8750  0.8750  4 O 1.81
Hg  0.3750  0.3750  0.3750  12 O 3.47, 4 Hg 3.63, 4 Ti 3.63
Hg  0.6250  0.6250  0.6250  12 O 3.47, 4 Ti 3.63, 4 Hg 3.63
O  0.0000  0.0000  0.0000  2 Ti 1.81
O  0.0000  0.0000  0.5000  2 Ti 1.81
O  0.0000  0.5000  0.0000  2 Ti 1.81
O  0.5000  0.0000  0.0000  2 Ti 1.81

Symmetry ... Fd-3m, No. 227
Formation energy from raw total energies ... -2376 meV per atom
Crystal system ... cubic
Total magnetic moment ... 0.00 μB per cell

---

[6]
DFT (SCAN) results for V2HgO6 at its PBEsol-relaxed geometry.

Cell lengths 4.8820, 14.4253, 5.9386 Å; angles 90.00, 90.00, 90.00 degrees
Last column: nearest neighbours and their distance in Å.
Element x y z (fractional)
V  0.0284  0.1706  0.0604  2 O 1.62-1.78
V  0.0284  0.3294  0.5604  2 O 1.62-1.78
V  0.4716  0.6706  0.0604  2 O 1.62-1.78
V  0.4716  0.8294  0.5604  2 O 1.62-1.78
V  0.5284  0.1706  0.4396  2 O 1.62-1.78
V  0.5284  0.3294  0.9396  2 O 1.62-1.78
V  0.9716  0.6706  0.4396  2 O 1.62-1.78
V  0.9716  0.8294  0.9396  2 O 1.62-1.78
Hg  0.0000  0.0000  0.5000  2 O 2.07
Hg  0.0000  0.5000  0.0000  2 O 2.07
Hg  0.5000  0.0000  0.0000  2 O 2.07
Hg  0.5000  0.5000  0.5000  2 O 2.07
O  0.0701  0.5960  0.6263  1 V 1.62
O  0.0701  0.9040  0.1263  1 V 1.62
O  0.1678  0.6096  0.1767  2 V 1.86-2.03, 1 Hg 2.07
O  0.1678  0.8904  0.6767  2 V 1.86-2.03, 1 Hg 2.07
O  0.2183  0.2469  0.4014  2 V 1.78-1.89
O  0.2183  0.2531  0.9014  2 V 1.78-1.89
O  0.2817  0.7469  0.4014  2 V 1.78-1.89
O  0.2817  0.7531  0.9014  2 V 1.78-1.89
O  0.3322  0.1096  0.1767  2 V 1.86-2.03, 1 Hg 2.07
O  0.3322  0.3904  0.6767  2 V 1.86-2.03, 1 Hg 2.07
O  0.4299  0.0960  0.6263  1 V 1.62
O  0.4299  0.4040  0.1263  1 V 1.62
O  0.5701  0.5960  0.8737  1 V 1.62
O  0.5701  0.9040  0.3737  1 V 1.62
O  0.6678  0.6096  0.3233  2 V 1.86-2.03, 1 Hg 2.07
O  0.6678  0.8904  0.8233  2 V 1.86-2.03, 1 Hg 2.07
O  0.7183  0.2469  0.0986  2 V 1.78-1.89
O  0.7183  0.2531  0.5986  2 V 1.78-1.89
O  0.7817  0.7469  0.0986  2 V 1.78-1.89
O  0.7817  0.7531  0.5986  2 V 1.78-1.89
O  0.8322  0.1096  0.3233  2 V 1.86-2.03, 1 Hg 2.07
O  0.8322  0.3904  0.8233  2 V 1.86-2.03, 1 Hg 2.07
O  0.9299  0.0960  0.8737  1 V 1.62
O  0.9299  0.4040  0.3737  1 V 1.62

Symmetry ... Pbca, No. 61
Formation energy from raw total energies ... -2039 meV per atom
Crystal system ... orthorhombic
Total magnetic moment ... 0.00 μB per cell

---

[7]
DFT (SCAN) results for Hg2WO4 at its PBEsol-relaxed geometry.

Cell lengths 7.2182, 7.2182, 4.9392 Å; angles 104.38, 104.38, 105.60 degrees
Last column: nearest neighbours and their distance in Å.
Element x y z (fractional)
Hg  0.0303  0.2507  0.4797  1 O 2.19
Hg  0.2507  0.0303  0.9797  1 O 2.19
Hg  0.7493  0.9697  0.0203  1 O 2.19
Hg  0.9697  0.7493  0.5203  1 O 2.19
W  0.4024  0.5976  0.2500  4 O 1.78-1.92
W  0.5976  0.4024  0.7500  4 O 1.78-1.92
O  0.1601  0.5502  0.2985  1 W 1.78
O  0.3191  0.4163  0.8498  1 W 1.92
O  0.4163  0.3191  0.3498  1 W 1.92
O  0.4498  0.8399  0.2015  1 W 1.78
O  0.5502  0.1601  0.7985  1 W 1.78
O  0.5837  0.6809  0.6502  1 W 1.92
O  0.6809  0.5837  0.1502  1 W 1.92
O  0.8399  0.4498  0.7015  1 W 1.78

Symmetry ... C2/c, No. 15
Formation energy from raw total energies ... -1430 meV per atom
Crystal system ... monoclinic
Total magnetic moment ... 0.00 μB per cell

---

[8]
DFT (SCAN) results for Y2HgO2 at its PBEsol-relaxed geometry.

Cell lengths 6.4408, 6.4408, 6.4408 Å; angles 144.45, 144.45, 51.16 degrees
Last column: nearest neighbours and their distance in Å.
Element x y z (fractional)
Y  0.1594  0.1594  0.0000  4 O 2.23
Y  0.8406  0.8406  0.0000  4 O 2.23
Hg  0.5000  0.5000  0.0000  8 Y 3.34, 8 O 3.51
O  0.2500  0.7500  0.5000  4 Y 2.23
O  0.7500  0.2500  0.5000  4 Y 2.23

Symmetry ... I4/mmm, No. 139
Formation energy from raw total energies ... -2831 meV per atom
Crystal system ... tetragonal
Total magnetic moment ... 0.00 μB per cell

---

Which value of total magnetic moment does entry 2 give?
0.00 μB per cell